No. 1
# UGa5Ni

A relaxed structure of UGa5Ni (PBE, Alexandria).

Lattice parameters (Å, degrees): 4.2482 4.2482 6.8102 90.00 90.00 90.00
Space group P4/mmm (No. 123)
Inequivalent atoms, fractional coordinates:
U 0.0000 0.0000 0.0000 (multiplicity 1)
Ga 0.0000 0.5000 0.3050 (multiplicity 4)
Ga 0.5000 0.5000 0.0000 (multiplicity 1)
Ni 0.0000 0.0000 0.5000 (multiplicity 1)

## Properties
The value obtained for the formation energy is -0.328 eV/atom. The value obtained for the total energy is -34.50 eV/f.u.

No. 2
# Ti3GeH2

A relaxed structure of Ti3GeH2 (PBE, Alexandria).

Lattice parameters (Å, degrees): 2.9493 9.4290 5.0762 90.00 90.00 90.00
Space group Pmc2_1 (No. 26)
Inequivalent atoms, fractional coordinates:
Ti 0.0000 0.1062 0.0000 (multiplicity 2)
Ti 0.0000 0.3598 0.7012 (multiplicity 2)
Ti 0.5000 0.3778 0.1962 (multiplicity 2)
Ge 0.5000 0.1370 0.4717 (multiplicity 2)
H 0.0000 0.4625 0.3744 (multiplicity 2)
H 0.5000 0.2547 0.9088 (multiplicity 2)

## Properties
The value obtained for the total energy is -37.15 eV/f.u.